# Nb4As3W2C3

A relaxed structure of Nb4As3W2C3 (PBE, the Open Quantum Materials Database).

Results
* VASP energy: -9.371 eV per atom
* symmetry: C2/c (15)
* magnetic moment: 0.00 μB per cell

Cell lengths 5.6932, 5.6932, 12.5733 Å; angles 102.95, 102.95, 59.96 degrees
Closest atoms and distances in Å follow each position.
Atoms (fractional coordinates):
As: 0.4160 0.2700 0.2500  2 W 2.68-2.73, 4 Nb 2.68-2.71
As: 0.1044 0.8956 0.2500  4 Nb 2.68-2.69, 2 W 2.68
As: 0.7300 0.5840 0.2500  2 W 2.68-2.73, 4 Nb 2.68-2.71
As: 0.2700 0.4160 0.7500  2 W 2.68-2.73, 4 Nb 2.68-2.71
As: 0.8956 0.1044 0.7500  4 Nb 2.68-2.69, 2 W 2.68
As: 0.5840 0.7300 0.7500  2 W 2.68-2.73, 4 Nb 2.68-2.71
C: 0.0000 0.5000 0.0000  2 W 2.12, 4 Nb 2.25
C: 0.3346 0.8308 0.0003  2 W 2.16, 4 Nb 2.22-2.25
C: 0.1692 0.6654 0.4997  2 W 2.16, 4 Nb 2.22-2.25
C: 0.5000 0.0000 0.5000  2 W 2.12, 4 Nb 2.25
C: 0.8308 0.3346 0.5003  2 W 2.16, 4 Nb 2.22-2.25
C: 0.6654 0.1692 0.9997  2 W 2.16, 4 Nb 2.22-2.25
Nb: 0.0365 0.1948 0.0976  3 C 2.22-2.25
Nb: 0.6986 0.8704 0.0979  3 C 2.23-2.25
Nb: 0.1296 0.3014 0.4021  3 C 2.23-2.25
Nb: 0.8052 0.9635 0.4024  3 C 2.22-2.25
Nb: 0.1948 0.0365 0.5976  3 C 2.22-2.25
Nb: 0.8704 0.6986 0.5979  3 C 2.23-2.25
Nb: 0.3014 0.1296 0.9021  3 C 2.23-2.25
Nb: 0.9635 0.8052 0.9024  3 C 2.22-2.25
W: 0.3552 0.5266 0.0835  3 C 2.12-2.16
W: 0.4734 0.6448 0.4165  3 C 2.12-2.16
W: 0.5266 0.3552 0.5835  3 C 2.12-2.16
W: 0.6448 0.4734 0.9165  3 C 2.12-2.16